1.
## Ho2TlRh (PBE-GGA)

Data for an optimized crystal structure of Ho2TlRh.

Structure (POSCAR):
```
Ho2TlRh
1.0
5.092 0.000 0.000
2.546 4.410 0.000
2.546 1.470 4.158
Ho Tl Rh
2 1 1
direct
0.750 0.750 0.750
0.250 0.250 0.250
0.500 0.500 0.500
0.000 0.000 0.000
```

Calculated values
- DOS(E_F) (states/eV/f.u.) = 1.42
- SG = Fm-3m
- relative energy among the computed polymorphs (meV/atom) = 122
- formation energy from the elements (eV/atom) = -0.508
- E (eV/atom) = -5.227



2.
## Ho2TlRh (PBE-GGA)

Data for an optimized crystal structure of Ho2TlRh.

Structure (POSCAR):
```
Ho2TlRh
1.0
3.522 0.000 0.000
0.000 3.522 0.000
0.000 0.000 7.567
Ho Rh Tl
2 1 1
direct
0.000 0.000 0.785
0.000 0.000 0.215
0.500 0.500 0.000
0.500 0.500 0.500
```

Calculated values
- DOS(E_F) (states/eV/f.u.) = 1.45
- SG = P4/mmm
- relative energy among the computed polymorphs (meV/atom) = 0
- formation energy from the elements (eV/atom) = -0.630
- E (eV/atom) = -5.348



3.
## HoTlRh (PBE-GGA)

Data for an optimized crystal structure of HoTlRh.

Structure (POSCAR):
```
HoTlRh
1.0
4.686 0.000 0.000
2.343 4.058 0.000
2.343 1.353 3.826
Ho Rh Tl
1 1 1
direct
0.000 0.000 0.000
0.250 0.250 0.250
0.500 0.500 0.500
```

Calculated values
- DOS(E_F) (states/eV/f.u.) = 1.04
- SG = F-43m
- formation energy from the elements (eV/atom) = -0.463
- E (eV/atom) = -5.229



4.
## HoTlRh (PBE-GGA)

Data for an optimized crystal structure of HoTlRh.

Structure (POSCAR):
```
HoTlRh
1.0
-2.820 -1.843 0.093
0.088 -0.374 -4.726
2.203 -3.236 2.676
Rh Tl Ho
1 1 1
direct
0.168 0.333 0.667
0.166 0.000 0.000
0.666 0.667 0.333
```

Calculated values
- DOS(E_F) (states/eV/f.u.) = 2.37
- SG = P-6m2
- formation energy from the elements (eV/atom) = -0.383
- E (eV/atom) = -5.148



5.
## YHoTlRh (PBE-GGA)

Data for an optimized crystal structure of YHoTlRh.

Structure (POSCAR):
```
YHoTlRh
1.0
3.536 0.000 0.000
0.000 3.536 0.000
0.000 0.000 7.586
Y Tl Ho Rh
1 1 1 1
direct
0.500 0.500 0.788
0.000 0.000 0.074
0.500 0.500 0.357
0.000 0.000 0.566
```

Calculated values
- DOS(E_F) (states/eV/f.u.) = 1.50
- SG = P4mm
- relative energy among the computed polymorphs (meV/atom) = 0
- formation energy from the elements (eV/atom) = -0.623
- E (eV/atom) = -5.813



6.
## YHoTlRh (PBE-GGA)

Data for an optimized crystal structure of YHoTlRh.

Structure (POSCAR):
```
YHoTlRh
1.0
5.109 0.000 0.000
2.554 4.424 0.000
2.554 1.475 4.171
Y Ho Rh Tl
1 1 1 1
direct
0.750 0.750 0.750
0.250 0.250 0.250
0.500 0.500 0.500
0.000 0.000 0.000
```

Calculated values
- DOS(E_F) (states/eV/f.u.) = 1.72
- SG = F-43m
- relative energy among the computed polymorphs (meV/atom) = 116
- formation energy from the elements (eV/atom) = -0.507
- E (eV/atom) = -5.697



7.
## HoZrTlRh (PBE-GGA)

Data for an optimized crystal structure of HoZrTlRh.

Structure (POSCAR):
```
HoZrTlRh
1.0
-3.953 -0.721 -2.938
-0.660 -4.390 -2.251
-3.673 -3.022 1.467
Tl Rh Zr Ho
1 1 1 1
direct
0.000 0.000 0.000
0.500 0.500 0.500
0.750 0.750 0.750
0.250 0.250 0.250
```

Calculated values
- DOS(E_F) (states/eV/f.u.) = 3.97
- SG = F-43m
- formation energy from the elements (eV/atom) = -0.320
- E (eV/atom) = -6.031



8.
## Ho2TmRh (PBE-GGA)

Data for an optimized crystal structure of Ho2TmRh.

Structure (POSCAR):
```
Ho2TmRh
1.0
-1.376 -0.855 3.085
2.903 -1.748 0.810
3.278 7.023 3.407
Tm Ho Rh
1 2 1
direct
0.500 0.500 0.500
0.000 0.000 0.808
0.000 0.000 0.192
0.500 0.500 0.000
```

Calculated values
- DOS(E_F) (states/eV/f.u.) = 5.52
- SG = P4/mmm
- relative energy among the computed polymorphs (meV/atom) = 141
- formation energy from the elements (eV/atom) = -0.408
- E (eV/atom) = -5.652



9.
## HoTm3Rh8 (PBE-GGA)

Data for an optimized crystal structure of HoTm3Rh8.

Structure (POSCAR):
```
HoTm3Rh8
1.0
5.308 0.000 0.000
-2.654 4.597 0.000
0.000 0.000 8.672
Tm Rh Ho
3 8 1
direct
0.667 0.333 0.433
0.667 0.333 0.066
0.000 0.000 0.934
0.672 0.836 0.249
0.995 0.497 0.751
0.333 0.667 0.000
0.503 0.005 0.751
0.503 0.497 0.751
0.164 0.836 0.249
0.164 0.328 0.249
0.333 0.667 0.500
0.000 0.000 0.567
```

Calculated values
- DOS(E_F) (states/eV/f.u.) = 7.56
- SG = P3m1
- formation energy from the elements (eV/atom) = -0.745
- E (eV/atom) = -7.145



10.
## HoTmRh2 (PBE-GGA)

Data for an optimized crystal structure of HoTmRh2.

Structure (POSCAR):
```
HoTmRh2
1.0
4.798 0.000 0.000
2.399 4.156 0.000
2.399 1.385 3.918
Rh Ho Tm
2 1 1
direct
0.000 0.000 0.000
0.500 0.500 0.500
0.250 0.250 0.250
0.750 0.750 0.750
```

Calculated values
- DOS(E_F) (states/eV/f.u.) = 1.56
- SG = Fm-3m
- formation energy from the elements (eV/atom) = -0.938
- E (eV/atom) = -6.876



11.
## Ho3TmRh8 (PBE-GGA)

Data for an optimized crystal structure of Ho3TmRh8.

Structure (POSCAR):
```
Ho3TmRh8
1.0
-1.871 3.203 3.815
-5.220 0.157 1.019
-1.419 -5.256 7.429
Rh Ho Tm
8 3 1
direct
0.938 0.438 0.687
0.188 0.188 0.437
0.938 0.938 0.687
0.437 0.937 0.188
0.437 0.437 0.188
0.438 0.938 0.687
0.687 0.687 0.938
0.937 0.437 0.188
0.500 0.500 0.499
0.000 0.000 0.000
0.375 0.375 0.875
0.875 0.875 0.376
```

Calculated values
- DOS(E_F) (states/eV/f.u.) = 7.29
- SG = R3m
- formation energy from the elements (eV/atom) = -0.760
- E (eV/atom) = -7.178



12.
## Ho2TmRh (PBE-GGA)

Data for an optimized crystal structure of Ho2TmRh.

Structure (POSCAR):
```
Ho2TmRh
1.0
-5.205 -3.433 -0.431
3.939 -5.897 -0.594
-0.106 -1.010 9.328
Tm Ho Rh
4 8 4
direct
0.864 0.035 0.250
0.636 0.535 0.250
0.136 0.965 0.750
0.364 0.465 0.750
0.827 0.321 0.937
0.327 0.179 0.063
0.327 0.179 0.437
0.173 0.679 0.063
0.827 0.321 0.563
0.673 0.821 0.937
0.673 0.821 0.563
0.173 0.679 0.437
0.550 0.116 0.750
0.450 0.884 0.250
0.950 0.616 0.750
0.050 0.384 0.250
```

Calculated values
- DOS(E_F) (states/eV/f.u.) = 4.47
- SG = Pnma
- relative energy among the computed polymorphs (meV/atom) = 0
- formation energy from the elements (eV/atom) = -0.549
- E (eV/atom) = -5.794



13.
## HoTmRh2 (PBE-GGA)

Data for an optimized crystal structure of HoTmRh2.

Structure (POSCAR):
```
HoTmRh2
1.0
-2.744 -0.609 2.731
0.472 -2.848 2.650
2.255 3.033 5.755
Rh Ho Tm
2 1 1
direct
0.749 0.749 0.754
0.251 0.251 0.246
0.500 0.500 0.500
0.000 0.000 0.000
```

Calculated values
- DOS(E_F) (states/eV/f.u.) = 0.33
- SG = R-3m
- formation energy from the elements (eV/atom) = -0.618
- E (eV/atom) = -6.556



14.
## Ho2Tm3Rh2 (PBE-GGA)

Data for an optimized crystal structure of Ho2Tm3Rh2.

Structure (POSCAR):
```
Ho2Tm3Rh2
1.0
-0.201 -1.334 -3.511
-2.840 -4.092 3.732
-4.909 6.923 -2.349
Tm Rh Ho
3 2 2
direct
0.617 0.233 0.431
0.500 0.000 0.000
0.383 0.767 0.569
0.824 0.648 0.761
0.176 0.352 0.239
0.165 0.330 0.807
0.835 0.670 0.193
```

Calculated values
- DOS(E_F) (states/eV/f.u.) = 6.51
- SG = C2/m
- formation energy from the elements (eV/atom) = -0.619
- E (eV/atom) = -5.943



15.
## Ho4Tm3Rh4 (PBE-GGA)

Data for an optimized crystal structure of Ho4Tm3Rh4.

Structure (POSCAR):
```
Ho4Tm3Rh4
1.0
-2.240 2.575 -1.207
-6.862 -5.575 0.841
3.426 4.007 7.620
Ho Rh Tm
4 4 3
direct
0.336 0.149 0.671
0.336 0.522 0.671
0.664 0.478 0.329
0.664 0.851 0.329
0.254 0.754 0.508
0.500 0.787 0.000
0.500 0.213 0.000
0.746 0.246 0.492
0.000 0.500 0.000
0.102 0.102 0.204
0.898 0.898 0.796
```

Calculated values
- DOS(E_F) (states/eV/f.u.) = 6.92
- SG = Immm
- formation energy from the elements (eV/atom) = -0.670
- E (eV/atom) = -6.228



16.
## HoTm4Rh2 (PBE-GGA)

Data for an optimized crystal structure of HoTm4Rh2.

Structure (POSCAR):
```
HoTm4Rh2
1.0
-2.321 4.553 -3.612
5.609 -1.322 -5.270
-6.333 -4.246 -1.284
Tm Ho Rh
8 2 4
direct
0.250 0.983 0.616
0.750 0.017 0.384
0.750 0.751 0.665
0.498 0.588 0.238
0.002 0.588 0.238
0.998 0.412 0.762
0.250 0.249 0.335
0.502 0.412 0.762
0.750 0.160 0.025
0.250 0.840 0.975
0.250 0.258 0.988
0.250 0.626 0.588
0.750 0.742 0.012
0.750 0.374 0.412
```

Calculated values
- DOS(E_F) (states/eV/f.u.) = 7.37
- SG = P2_1/m
- formation energy from the elements (eV/atom) = -0.527
- E (eV/atom) = -5.837



17.
## Ho2Tm2Rh (PBE-GGA)

Data for an optimized crystal structure of Ho2Tm2Rh.

Structure (POSCAR):
```
Ho2Tm2Rh
1.0
7.327 0.000 0.491
3.664 5.793 0.246
3.701 0.000 6.846
Tm Ho Rh
4 4 2
direct
0.985 0.442 0.249
0.015 0.558 0.751
0.427 0.558 0.249
0.573 0.442 0.751
0.641 0.000 0.103
0.359 0.000 0.897
0.833 0.000 0.402
0.167 0.000 0.598
0.872 0.255 0.000
0.128 0.745 0.000
```

Calculated values
- DOS(E_F) (states/eV/f.u.) = 5.99
- SG = C2/m
- formation energy from the elements (eV/atom) = -0.334
- E (eV/atom) = -5.424



18.
## HoTm3Rh (PBE-GGA)

Data for an optimized crystal structure of HoTm3Rh.

Structure (POSCAR):
```
HoTm3Rh
1.0
-0.023 5.412 4.729
-4.229 -5.221 2.551
6.523 -2.800 -1.001
Tm Ho Rh
6 2 2
direct
0.238 0.451 0.294
0.291 0.554 0.845
0.157 0.945 0.706
0.843 0.055 0.294
0.762 0.549 0.706
0.709 0.446 0.155
0.288 0.948 0.236
0.712 0.052 0.764
0.628 0.748 0.377
0.372 0.252 0.623
```

Calculated values
- DOS(E_F) (states/eV/f.u.) = 5.65
- SG = C2/m
- relative energy among the computed polymorphs (meV/atom) = 0
- formation energy from the elements (eV/atom) = -0.371
- E (eV/atom) = -5.440



19.
## HoTm3Rh (PBE-GGA)

Data for an optimized crystal structure of HoTm3Rh.

Structure (POSCAR):
```
HoTm3Rh
1.0
5.326 0.000 0.000
0.000 5.326 0.000
0.000 0.000 5.326
Tm Rh Ho
3 1 1
direct
0.500 0.000 0.000
0.000 0.500 0.000
0.000 0.000 0.500
0.000 0.000 0.000
0.500 0.500 0.500
```

Calculated values
- DOS(E_F) (states/eV/f.u.) = 7.26
- SG = Pm-3m
- relative energy among the computed polymorphs (meV/atom) = 123
- formation energy from the elements (eV/atom) = -0.248
- E (eV/atom) = -5.317



20.
## Ho4TmRh2 (PBE-GGA)

Data for an optimized crystal structure of Ho4TmRh2.

Structure (POSCAR):
```
Ho4TmRh2
1.0
-5.675 -2.719 0.309
3.167 -6.838 -2.002
-0.108 1.104 7.735
Rh Tm Ho
4 2 8
direct
0.750 0.375 0.411
0.750 0.750 0.012
0.250 0.625 0.589
0.250 0.250 0.988
0.750 0.159 0.028
0.250 0.841 0.972
0.250 0.982 0.617
0.997 0.412 0.764
0.503 0.412 0.764
0.750 0.754 0.665
0.497 0.588 0.236
0.250 0.246 0.335
0.003 0.588 0.236
0.750 0.018 0.383
```

Calculated values
- DOS(E_F) (states/eV/f.u.) = 7.61
- SG = P2_1/m
- formation energy from the elements (eV/atom) = -0.498
- E (eV/atom) = -5.853